Entry from Alexandria: a crystal of Cs2YInI6 relaxed with PBEsol (SCAN).

Lattice parameters (Å, degrees): 8.7886 8.7886 8.7886 60.00 60.00 60.00
Fractional positions:
1 Cs 0.7500 0.7500 0.7500
2 Cs 0.2500 0.2500 0.2500
3 I 0.7602 0.2398 0.2398
4 I 0.7602 0.7602 0.2398
5 I 0.2398 0.7602 0.7602
6 I 0.7602 0.2398 0.7602
7 I 0.2398 0.7602 0.2398
8 I 0.2398 0.2398 0.7602
9 Y 0.0000 0.0000 0.0000
10 In 0.5000 0.5000 0.5000

Calculated values
SG: Fm-3m (225)
Crystal system: cubic
Final energy (eV per atom): -37.136